No. 1
5
Lattice="3.948 0.000 0.000 0.000 3.948 0.000 0.000 0.000 5.655" Properties=species:S:1:pos:R:3 comment="MgTcIN2 | the Alexandria database | GGA-PBE | relaxed" magmom_total_mub_per_cell=0.0 e_tot_ev_per_fu=-27.44 n_ef_per_ev_atom=0.72 de_polymorph_mev_per_atom=0 rho_g_cm3=5.22 raw_formation_energy_ev_per_atom=0.544 crystal_system=tetragonal pbc="T T T"
Tc 0.000 0.000 0.000
N 1.974 0.000 0.000
N 0.000 1.974 0.000
I 0.000 0.000 2.828
Mg 1.974 1.974 2.828

No. 2
5
Lattice="5.786 0.000 0.000 0.000 5.786 0.000 0.000 0.000 3.970" Properties=species:S:1:pos:R:3 comment="MgTcI2N | the Alexandria database | GGA-PBE | relaxed" magmom_total_mub_per_cell=6.1 e_tot_ev_per_fu=-18.50 n_ef_per_ev_atom=0.50 de_polymorph_mev_per_atom=800 rho_g_cm3=4.87 raw_formation_energy_ev_per_atom=0.978 crystal_system=tetragonal pbc="T T T"
I 0.000 2.893 0.000
I 2.893 0.000 0.000
Mg 0.000 0.000 0.000
N 0.000 0.000 1.985
Tc 2.893 2.893 1.985